# 1
## YScCu2 (PBE)

Data for an optimized crystal structure of YScCu2.

a b c (Å): 5.552 5.552 5.552
angles (deg): 137.40 137.40 61.82
Element x y z (fractional)
Y1 0.750 0.250 0.500
Sc1 0.500 0.500 0.000
Cu1 0.000 0.000 0.000
Cu2 0.250 0.750 0.500

calculated formation energy	2	meV/atom
DOS at the Fermi energy	5.467	states/eV per cell
DFT total energy	-5.245	eV per atom
energy above the lowest structure with this stoichiometry	24.82	kJ per mole of atoms

# 2
## YSc3Cu8 (PBE)

Data for an optimized crystal structure of YSc3Cu8.

a b c (Å): 5.126 5.126 8.282
angles (deg): 90.00 90.00 120.00
Element x y z (fractional)
Sc1 0.667 0.333 0.050
Sc2 0.667 0.333 0.429
Sc3 0.000 0.000 0.958
Cu1 0.167 0.833 0.247
Cu2 0.667 0.833 0.247
Cu3 0.333 0.667 0.499
Cu4 0.167 0.333 0.247
Cu5 0.502 0.498 0.754
Cu6 0.997 0.498 0.754
Cu7 0.502 0.003 0.754
Cu8 0.333 0.667 0.998
Y1 0.000 0.000 0.564

calculated formation energy	-223	meV/atom
DOS at the Fermi energy	7.188	states/eV per cell
DFT total energy	-5.076	eV per atom

# 3
## Y5ScCu6 (PBE)

Data for an optimized crystal structure of Y5ScCu6.

a b c (Å): 4.885 6.841 8.471
angles (deg): 66.19 73.25 90.00
Element x y z (fractional)
Cu1 0.840 0.600 0.322
Cu2 0.160 0.400 0.678
Cu3 0.500 0.232 0.000
Cu4 0.840 0.079 0.321
Cu5 0.160 0.921 0.679
Cu6 0.500 0.768 0.000
Sc1 0.000 0.000 0.000
Y1 0.333 0.833 0.334
Y2 0.000 0.500 0.000
Y3 0.667 0.167 0.666
Y4 0.666 0.666 0.668
Y5 0.334 0.334 0.332

calculated formation energy	-239	meV/atom
DOS at the Fermi energy	7.112	states/eV per cell
DFT total energy	-5.508	eV per atom

# 4
## Y3ScCu4 (PBE)

Data for an optimized crystal structure of Y3ScCu4.

a b c (Å): 3.432 3.432 13.673
angles (deg): 90.00 90.00 90.00
Element x y z (fractional)
Y1 0.500 0.500 0.758
Y2 0.500 0.500 0.242
Y3 0.500 0.500 0.500
Cu1 0.000 0.000 0.106
Cu2 0.000 0.000 0.373
Cu3 0.000 0.000 0.627
Cu4 0.000 0.000 0.894
Sc1 0.500 0.500 0.000

calculated formation energy	-243	meV/atom
DOS at the Fermi energy	5.275	states/eV per cell
DFT total energy	-5.507	eV per atom

# 5
## YSc2Cu (PBE)

Data for an optimized crystal structure of YSc2Cu.

a b c (Å): 5.995 5.995 5.995
angles (deg): 139.00 139.00 59.38
Each line ends with the local moment (μB).
Element x y z (fractional)
Cu1 0.750 0.250 0.500  0.00
Sc1 0.500 0.500 0.000  0.07
Sc2 0.000 0.000 0.000  0.07
Y1 0.250 0.750 0.500  0.01

calculated formation energy	112	meV/atom
DOS at the Fermi energy	5.399	states/eV per cell
DFT total energy	-5.694	eV per atom
energy above the lowest structure with this stoichiometry	21.57	kJ per mole of atoms

# 6
## Y2ScCu3 (PBE)

Data for an optimized crystal structure of Y2ScCu3.

a b c (Å): 3.401 3.401 10.269
angles (deg): 90.00 90.00 90.00
Element x y z (fractional)
Y1 0.500 0.500 0.826
Y2 0.500 0.500 0.174
Cu1 0.000 0.000 0.356
Cu2 0.000 0.000 0.644
Cu3 0.000 0.000 0.000
Sc1 0.500 0.500 0.500

calculated formation energy	-246	meV/atom
DOS at the Fermi energy	3.039	states/eV per cell
DFT total energy	-5.504	eV per atom

# 7
## YScCu2 (PBE)

Data for an optimized crystal structure of YScCu2.

a b c (Å): 6.229 6.229 6.229
angles (deg): 152.14 57.65 130.62
Element x y z (fractional)
Cu1 0.241 0.000 0.241
Cu2 0.759 0.000 0.759
Sc1 0.000 0.000 0.000
Y1 0.500 0.000 0.500

calculated formation energy	699	meV/atom
DOS at the Fermi energy	3.531	states/eV per cell
DFT total energy	-4.548	eV per atom
energy above the lowest structure with this stoichiometry	91.99	kJ per mole of atoms

# 8
## YSc2Cu (PBE)

Data for an optimized crystal structure of YSc2Cu.

a b c (Å): 4.661 5.956 7.295
angles (deg): 90.00 90.00 113.06
Element x y z (fractional)
Sc1 0.347 0.694 0.540
Sc2 0.653 0.306 0.040
Sc3 0.347 0.694 0.960
Sc4 0.653 0.306 0.460
Y1 0.947 0.893 0.250
Y2 0.053 0.107 0.750
Cu1 0.209 0.418 0.250
Cu2 0.791 0.582 0.750

calculated formation energy	-112	meV/atom
DOS at the Fermi energy	11.539	states/eV per cell
DFT total energy	-5.918	eV per atom
energy above the lowest structure with this stoichiometry	0.00	kJ per mole of atoms

# 9
## YScCu (PBE)

Data for an optimized crystal structure of YScCu.

a b c (Å): 3.476 3.476 6.799
angles (deg): 90.00 90.00 120.00
Element x y z (fractional)
Sc1 0.333 0.667 0.283
Cu1 0.000 0.000 0.015
Y1 0.667 0.333 0.703

calculated formation energy	73	meV/atom
DOS at the Fermi energy	3.762	states/eV per cell
DFT total energy	-5.557	eV per atom
energy above the lowest structure with this stoichiometry	24.54	kJ per mole of atoms

# 10
## YScCu (PBE)

Data for an optimized crystal structure of YScCu.

a b c (Å): 7.034 8.477 8.477
angles (deg): 67.80 65.49 65.49
Element x y z (fractional)
Cu1 0.087 0.667 0.667
Cu2 0.420 0.333 0.333
Cu3 0.753 0.750 0.250
Cu4 0.087 0.167 0.167
Cu5 0.753 0.250 0.750
Cu6 0.420 0.833 0.833
Sc1 0.753 0.369 0.369
Sc2 0.753 0.869 0.869
Sc3 0.015 0.000 0.000
Sc4 0.015 0.500 0.500
Sc5 0.491 0.131 0.131
Sc6 0.491 0.631 0.631
Y1 0.753 0.452 0.952
Y2 0.157 0.048 0.548
Y3 0.349 0.250 0.750
Y4 0.157 0.548 0.048
Y5 0.753 0.952 0.452
Y6 0.349 0.750 0.250

calculated formation energy	-181	meV/atom
DOS at the Fermi energy	13.770	states/eV per cell
DFT total energy	-5.812	eV per atom
energy above the lowest structure with this stoichiometry	0.00	kJ per mole of atoms

# 11
## YSc2Cu (PBE)

Data for an optimized crystal structure of YSc2Cu.

a b c (Å): 5.460 5.460 5.460
angles (deg): 131.38 131.38 71.21
Element x y z (fractional)
Cu1 0.750 0.250 0.500
Sc1 0.250 0.750 0.500
Sc2 0.000 0.000 0.000
Y1 0.500 0.500 0.000

calculated formation energy	122	meV/atom
DOS at the Fermi energy	6.218	states/eV per cell
DFT total energy	-5.684	eV per atom
energy above the lowest structure with this stoichiometry	22.56	kJ per mole of atoms

# 12
## YSc2Cu2 (PBE)

Data for an optimized crystal structure of YSc2Cu2.

a b c (Å): 7.956 7.956 3.118
angles (deg): 90.00 90.00 90.00
Each line ends with the local moment (μB).
Element x y z (fractional)
Cu1 0.342 0.158 0.500  0.01
Cu2 0.158 0.658 0.500  0.01
Cu3 0.658 0.842 0.500  0.01
Cu4 0.842 0.342 0.500  0.01
Sc1 0.863 0.637 0.000  0.03
Sc2 0.137 0.363 0.000  0.03
Sc3 0.363 0.863 0.000  0.03
Sc4 0.637 0.137 0.000  0.03
Y1 0.500 0.500 0.000  0.17
Y2 0.000 0.000 0.000  0.17

calculated formation energy	-82	meV/atom
DOS at the Fermi energy	7.003	states/eV per cell
DFT total energy	-5.546	eV per atom
energy above the lowest structure with this stoichiometry	9.54	kJ per mole of atoms